Compound: Ca6CuN
Source: Alexandria via LeMat-Bulk
Functional: PBE
Structure: relaxed

Results
- Symmetry: C2/m, No. 12
- ρ: 2.14 Mg/m³
- Energy: -3.31 eV/atom
- Magnetization: 0.0 Bohr magnetons per cell

Lattice parameters (Å, degrees): 6.587 6.834 6.661 59.14 81.76 73.78
Element x y z (fractional)
Ca 0.262 0.851 0.694
Ca 0.738 0.455 0.694
Ca 0.295 0.253 0.000
Ca 0.738 0.149 0.306
Ca 0.262 0.545 0.306
N 0.500 0.500 0.000
Cu 0.000 0.000 0.000
Ca 0.705 0.747 0.000


Compound: Ag3HS
Source: Alexandria via LeMat-Bulk
Functional: PBE
Structure: relaxed

Results
- Symmetry: Pm-3m, No. 221
- ρ: 7.81 Mg/m³
- Excess energy over the best structure of this formula in the dataset: 0.0 meV/atom
- Magnetization: 0.0 Bohr magnetons per cell

Lattice parameters (Å, degrees): 4.232 4.232 4.232 90.00 90.00 90.00
Element x y z (fractional)
Ag 0.000 0.000 0.500
Ag 0.000 0.500 0.000
S 0.500 0.500 0.500
Ag 0.500 0.000 0.000
H 0.000 0.000 0.000


Compound: CaMnMo
Source: Alexandria via LeMat-Bulk
Functional: PBE
Structure: relaxed

Results
- Symmetry: P3m1, No. 156
- E_form: 0.7823 eV per atom
- ρ: 5.64 Mg/m³
- Excess energy over the best structure of this formula in the dataset: 333.0 meV/atom
- Magnetization: 2.6 Bohr magnetons per cell

Lattice parameters (Å, degrees): 4.731 4.731 2.900 90.00 90.00 120.00
Element x y z (fractional)
Mo 0.667 0.333 0.575
Mn 0.333 0.667 0.429
Ca 0.000 0.000 0.996


Compound: La2DySc
Source: Alexandria via LeMat-Bulk
Functional: PBE
Structure: relaxed

Results
- Symmetry: R3m, No. 160
- E_form: 0.0678 eV per atom
- ρ: 6.29 Mg/m³
- Excess energy over the best structure of this formula in the dataset: 26.3 meV/atom
- Magnetization: 0.0 Bohr magnetons per cell

Lattice parameters (Å, degrees): 3.584 3.584 11.710 81.20 81.20 60.00
Element x y z (fractional)
Dy 0.499 0.499 0.504
La 0.081 0.081 0.758
La 0.253 0.253 0.242
Sc 0.668 0.668 0.997


Compound: HfAsPd6
Source: Alexandria via LeMat-Bulk
Functional: PBE
Structure: relaxed

Results
- Symmetry: Cmmm, No. 65
- E_form: -0.3714 eV per atom
- ρ: 10.56 Mg/m³
- Magnetization: 0.0 Bohr magnetons per cell

Lattice parameters (Å, degrees): 4.596 4.596 7.806 89.99 89.99 121.75
Element x y z (fractional)
Hf 0.000 0.000 0.000
Pd 0.000 0.000 0.671
Pd 0.000 0.000 0.329
Pd 0.336 0.664 0.182
Pd 0.336 0.664 0.818
As 0.500 0.500 0.500
Pd 0.664 0.336 0.818
Pd 0.664 0.336 0.182


Compound: AsPRh
Source: Alexandria via LeMat-Bulk
Functional: PBE
Structure: relaxed

Results
- Symmetry: P2_13, No. 198
- E_form: -0.4381 eV per atom
- ρ: 6.93 Mg/m³
- Excess energy over the best structure of this formula in the dataset: 127.7 meV/atom
- Magnetization: 0.0 Bohr magnetons per cell

Lattice parameters (Å, degrees): 5.849 5.849 5.849 90.00 90.00 90.00
Element x y z (fractional)
Rh 0.485 0.985 0.515
P 0.887 0.387 0.113
P 0.613 0.613 0.613
Rh 0.985 0.515 0.485
As 0.384 0.384 0.384
Rh 0.515 0.485 0.985
As 0.116 0.616 0.884
As 0.616 0.884 0.116
P 0.387 0.113 0.887
As 0.884 0.116 0.616
P 0.113 0.887 0.387
Rh 0.015 0.015 0.015


Compound: HfVCo2I
Source: Alexandria via LeMat-Bulk
Functional: PBE
Structure: relaxed

Results
- Symmetry: P4/mmm, No. 123
- ρ: 8.25 Mg/m³
- Energy: -5.71 eV/atom
- Magnetization: 0.2 Bohr magnetons per cell

Lattice parameters (Å, degrees): 4.482 4.752 4.482 90.00 90.00 90.00
Element x y z (fractional)
V 0.000 0.500 0.000
Hf 0.500 0.500 0.500
I 0.000 0.000 0.000
Co 0.500 0.000 0.000
Co 0.000 0.000 0.500


Compound: ScReOF2
Source: Alexandria via LeMat-Bulk
Functional: PBE
Structure: relaxed

Results
- Symmetry: P4/mmm, No. 123
- ρ: 6.35 Mg/m³
- Excess energy over the best structure of this formula in the dataset: 0.0 meV/atom
- Magnetization: 5.8 Bohr magnetons per cell

Lattice parameters (Å, degrees): 4.262 4.262 4.106 90.00 90.00 90.00
Element x y z (fractional)
Sc 0.000 0.000 0.000
F 0.500 0.000 0.000
O 0.000 0.000 0.500
Re 0.500 0.500 0.500
F 0.000 0.500 0.000